<i>
# Te2IrPt, relaxed, DFT PBE-GGA
# calculated volume: 21.2 Å³ per atom
data_Te2IrPt
_symmetry_space_group_name_H-M 'C 1 2/m 1'
_symmetry_Int_Tables_number 12
_symmetry_space_group_name_Hall '-C 2y'
_cell_length_a 6.774
_cell_length_b 3.892
_cell_length_c 6.819
_cell_angle_alpha 90.00
_cell_angle_beta 109.18
_cell_angle_gamma 90.00
loop_
_atom_site_label
_atom_site_type_symbol
_atom_site_fract_x
_atom_site_fract_y
_atom_site_fract_z
Te1 Te 0.246 0.000 0.238
Ir1 Ir 0.000 0.500 0.000
Pt1 Pt 0.000 0.000 0.500

***

<ii>
# Te2IrPt, relaxed, DFT PBE-GGA
# calculated volume: 23.3 Å³ per atom
data_Te2IrPt
_symmetry_space_group_name_H-M 'P 4 m m'
_symmetry_Int_Tables_number 99
_symmetry_space_group_name_Hall 'P 4 -2'
_cell_length_a 3.616
_cell_length_b 3.616
_cell_length_c 7.126
_cell_angle_alpha 90.00
_cell_angle_beta 90.00
_cell_angle_gamma 90.00
loop_
_atom_site_label
_atom_site_type_symbol
_atom_site_fract_x
_atom_site_fract_y
_atom_site_fract_z
Te1 Te 0.000 0.000 0.000
Te2 Te 0.500 0.500 0.480
Ir1 Ir 0.000 0.000 0.631
Pt1 Pt 0.500 0.500 0.854

***

Verdict on stability: <ii> comes out on top.

***

<i>
# ZrHgBr, relaxed, DFT PBE-GGA
# calculated volume: 26.8 Å³ per atom
data_ZrHgBr
_symmetry_space_group_name_H-M 'F m m 2'
_symmetry_Int_Tables_number 42
_symmetry_space_group_name_Hall 'F 2 -2'
_cell_length_a 3.474
_cell_length_b 5.859
_cell_length_c 15.794
_cell_angle_alpha 90.00
_cell_angle_beta 90.00
_cell_angle_gamma 90.00
loop_
_atom_site_label
_atom_site_type_symbol
_atom_site_fract_x
_atom_site_fract_y
_atom_site_fract_z
Zr1 Zr 0.000 0.000 0.000
Hg1 Hg 0.000 0.000 0.651
Br1 Br 0.000 0.000 0.366

***

<ii>
# ZrHgBr, relaxed, DFT PBE-GGA
# calculated volume: 26.1 Å³ per atom
data_ZrHgBr
_symmetry_space_group_name_H-M 'F -4 3 m'
_symmetry_Int_Tables_number 216
_symmetry_space_group_name_Hall 'F -4 2 3'
_cell_length_a 6.795
_cell_length_b 6.795
_cell_length_c 6.795
_cell_angle_alpha 90.00
_cell_angle_beta 90.00
_cell_angle_gamma 90.00
loop_
_atom_site_label
_atom_site_type_symbol
_atom_site_fract_x
_atom_site_fract_y
_atom_site_fract_z
Zr1 Zr 0.000 0.000 0.000
Hg1 Hg 0.250 0.250 0.750
Br1 Br 0.250 0.250 0.250

***

Verdict on stability: <i> comes out on top.

***

<i>
# La2YPt, relaxed, DFT PBE-GGA
# calculated volume: 30.9 Å³ per atom
data_La2YPt
_symmetry_space_group_name_H-M 'P n m a'
_symmetry_Int_Tables_number 62
_symmetry_space_group_name_Hall '-P 2ac 2n'
_cell_length_a 7.268
_cell_length_b 10.319
_cell_length_c 6.594
_cell_angle_alpha 90.00
_cell_angle_beta 90.00
_cell_angle_gamma 90.00
loop_
_atom_site_label
_atom_site_type_symbol
_atom_site_fract_x
_atom_site_fract_y
_atom_site_fract_z
La1 La 0.179 0.063 0.175
Y1 Y 0.033 0.250 0.655
Pt1 Pt 0.120 0.750 0.942

***

<ii>
# La2YPt, relaxed, DFT PBE-GGA
# calculated volume: 29.8 Å³ per atom
data_La2YPt
_symmetry_space_group_name_H-M 'P 4/m m m'
_symmetry_Int_Tables_number 123
_symmetry_space_group_name_Hall '-P 4 2'
_cell_length_a 3.785
_cell_length_b 3.785
_cell_length_c 8.328
_cell_angle_alpha 90.00
_cell_angle_beta 90.00
_cell_angle_gamma 90.00
loop_
_atom_site_label
_atom_site_type_symbol
_atom_site_fract_x
_atom_site_fract_y
_atom_site_fract_z
La1 La 0.000 0.000 0.201
Y1 Y 0.500 0.500 0.500
Pt1 Pt 0.500 0.500 0.000

***

Verdict on stability: <i> comes out on top.